Compound: Sc3GeBi
Source: Alexandria
Functional: GGA-PBE
Structure: relaxed

a = 7.7309 Å, b = 7.7309 Å, c = 7.7309 Å
α = 50.14°, β = 50.14°, γ = 50.14°
With the nearest neighbours (Å) after each atom.
Sites, in units of the cell vectors:
Sc (0.0960, 0.5940, 0.5940)  2 Ge 2.68-2.70
Sc (0.4060, 0.4060, 0.9040)  2 Ge 2.68-2.70
Sc (0.4060, 0.9040, 0.4060)  2 Ge 2.68-2.70
Sc (0.5940, 0.0960, 0.5940)  2 Ge 2.68-2.70
Sc (0.5940, 0.5940, 0.0960)  2 Ge 2.68-2.70
Sc (0.9040, 0.4060, 0.4060)  2 Ge 2.68-2.70
Ge (0.3322, 0.3322, 0.3322)  6 Sc 2.68-2.70
Ge (0.6678, 0.6678, 0.6678)  6 Sc 2.68-2.70
Bi (0.1106, 0.1106, 0.1106)  9 Sc 3.21-3.29
Bi (0.8894, 0.8894, 0.8894)  9 Sc 3.21-3.29

Total moment in Bohr magnetons per cell: 0.00
N(E_F) in states/eV/f.u.: 4.33
VASP energy in eV/atom: -6.04
Symmetry: R-3m